(1)
Here is SeSI after structural relaxation from Alexandria. Energies are from PBE-GGA.

Cell lengths 4.1064, 5.7742, 9.3921 Å; angles 90.00, 94.98, 90.00 degrees
Fractional positions:
I  0.6015  0.0000  0.6503
I  0.6015  0.5000  0.1503
S  0.1097  0.0000  0.9860
S  0.1097  0.5000  0.4860
Se  0.7466  0.5000  0.6278
Se  0.7466  0.0000  0.1278

Calculated values
E above lowest polymorph	121	meV/atom
ΔE_f (raw)	0.199	eV per atom
uncorrected energy	-2.86	eV per atom
space-group type	Cm, No. 8

(2)
Here is Se2S2I after structural relaxation from Alexandria. Energies are from PBE-GGA.

Cell lengths 10.2051, 7.4556, 6.6174 Å; angles 63.87, 56.59, 56.77 degrees
Fractional positions:
Se  0.6340  0.1354  0.5841
Se  0.3691  0.8764  0.9239
Se  0.3660  0.8646  0.4159
Se  0.6309  0.1236  0.0761
S  0.5323  0.6324  0.1529
S  0.4677  0.3676  0.8471
S  0.2097  0.0963  0.1921
S  0.7903  0.9037  0.8079
I  0.8700  0.7518  0.3007
I  0.1300  0.2482  0.6993

Calculated values
E above lowest polymorph	0	meV/atom
ΔE_f (raw)	0.131	eV per atom
uncorrected energy	-3.22	eV per atom
space-group type	P-1, No. 2

(3)
Here is SeSI2 after structural relaxation from Alexandria. Energies are from PBE-GGA.

Cell lengths 5.2295, 5.2295, 5.2295 Å; angles 60.00, 60.00, 60.00 degrees
Fractional positions:
I  0.2500  0.2500  0.2500
I  0.7500  0.7500  0.7500
Se  0.5000  0.5000  0.5000
S  0.0000  0.0000  0.0000

Calculated values
E above lowest polymorph	177	meV/atom
ΔE_f (raw)	0.829	eV per atom
uncorrected energy	-1.85	eV per atom
space-group type	Fm-3m, No. 225

(4)
Here is Tc2SeSI after structural relaxation from Alexandria. Energies are from PBE-GGA.

Cell lengths 5.0660, 4.9796, 5.0660 Å; angles 90.00, 90.00, 90.00 degrees
Fractional positions:
Se  0.5000  0.5000  0.5000
S  0.0000  0.5000  0.0000
Tc  0.5000  0.0000  0.0000
Tc  0.0000  0.0000  0.5000
I  0.0000  0.0000  0.0000

Calculated values
ΔE_f (raw)	1.920	eV per atom
uncorrected energy	-4.06	eV per atom
space-group type	P4/mmm, No. 123

(5)
Here is TeSeSI2 after structural relaxation from Alexandria. Energies are from PBE-GGA.

Cell lengths 5.6578, 5.6578, 5.6670 Å; angles 90.00, 90.00, 90.00 degrees
Fractional positions:
Se  0.0000  0.0000  0.0000
Te  0.0000  0.0000  0.5000
S  0.5000  0.5000  0.5000
I  0.0000  0.5000  0.0000
I  0.5000  0.0000  0.0000

Calculated values
E above lowest polymorph	66	meV/atom
ΔE_f (raw)	0.778	eV per atom
uncorrected energy	-1.99	eV per atom
space-group type	P4/mmm, No. 123

(6)
Here is Te2SeSI after structural relaxation from Alexandria. Energies are from PBE-GGA.

Cell lengths 5.5414, 5.5414, 5.5610 Å; angles 90.00, 90.00, 90.00 degrees
Fractional positions:
I  0.0000  0.0000  0.5000
Te  0.0000  0.5000  0.0000
Te  0.5000  0.0000  0.0000
Se  0.0000  0.0000  0.0000
S  0.5000  0.5000  0.5000

Calculated values
E above lowest polymorph	144	meV/atom
ΔE_f (raw)	0.855	eV per atom
uncorrected energy	-2.23	eV per atom
space-group type	P4/mmm, No. 123

(7)
Here is TeSeSI2 after structural relaxation from Alexandria. Energies are from PBE-GGA.

Cell lengths 5.4091, 5.4091, 5.4963 Å; angles 90.00, 90.00, 90.00 degrees
Fractional positions:
Te  0.0000  0.0000  0.5000
I  0.0000  0.5000  0.0000
I  0.5000  0.0000  0.0000
Se  0.5000  0.5000  0.5000
S  0.0000  0.0000  0.0000

Calculated values
E above lowest polymorph	0	meV/atom
ΔE_f (raw)	0.712	eV per atom
uncorrected energy	-2.06	eV per atom
space-group type	P4/mmm, No. 123

(8)
Here is Te2SeSI after structural relaxation from Alexandria. Energies are from PBE-GGA.

Cell lengths 5.3733, 5.3733, 5.2328 Å; angles 90.00, 90.00, 90.00 degrees
Fractional positions:
Se  0.5000  0.5000  0.5000
Te  0.0000  0.5000  0.0000
Te  0.5000  0.0000  0.0000
I  0.0000  0.0000  0.5000
S  0.0000  0.0000  0.0000

Calculated values
E above lowest polymorph	0	meV/atom
ΔE_f (raw)	0.711	eV per atom
uncorrected energy	-2.38	eV per atom
space-group type	P4/mmm, No. 123

| no. | calculated volume (Å³ per cell) |
| --- | --- |
| 1 | 221.9 |
| 2 | 344.5 |
| 3 | 101.1 |
| 4 | 127.8 |
| 5 | 181.4 |
| 6 | 170.8 |
| 7 | 160.8 |
| 8 | 151.1 |